# YMoOF2 PBE+U optimized geometry
# - DOS(E_F) (states/eV per atom) = 0.5027
# - mass density (g cm⁻³) = 4.848
# - polymorph energy (0 for the lowest one) (kJ per mole of atoms) = 62.7
# - total magnetization (μB per atom) = 0.926
data_YMoOF2
_chemical_formula_sum 'Y1 Mo1 O1 F2'
_cell_length_a 4.408
_cell_length_b 4.408
_cell_length_c 4.210
_cell_angle_alpha 90.00
_cell_angle_beta 90.00
_cell_angle_gamma 90.00
_space_group_name_H-M_alt 'P 1'
_space_group_IT_number 1
loop_
_space_group_symop_operation_xyz
'x,y,z'
loop_
_atom_site_label
_atom_site_type_symbol
_atom_site_fract_x
_atom_site_fract_y
_atom_site_fract_z
_atom_site_occupancy
Y1 Y 0.000 0.000 0.000 1
Mo1 Mo 0.500 0.500 0.500 1
O1 O 0.500 0.500 0.000 1
F1 F 0.000 0.500 0.500 1
F2 F 0.500 0.000 0.500 1